A plane-wave DFT calculation with PBEsol was carried out for a relaxed TaNiI2O crystal.

Structure (CIF):
```
data_TaNiI2O
_chemical_formula_sum 'Ta1 Ni1 I2 O1'
_cell_length_a 5.2972
_cell_length_b 5.2972
_cell_length_c 3.4380
_cell_angle_alpha 90.00
_cell_angle_beta 90.00
_cell_angle_gamma 90.00
_symmetry_space_group_name_H-M 'P 4/m m m'
_symmetry_Int_Tables_number 123
_symmetry_space_group_name_Hall '-P 4 2'
loop_
_atom_site_label
_atom_site_type_symbol
_atom_site_fract_x
_atom_site_fract_y
_atom_site_fract_z
_atom_site_occupancy
Ta1 Ta 0.0000 0.0000 0.0000 1
Ni1 Ni 0.5000 0.5000 0.5000 1
I1 I 0.0000 0.5000 0.5000 1
O1 O 0.5000 0.5000 0.0000 1
```

Values from the calculation:
DOS(E_F) (states/eV/f.u.): 5.2
Magnetization (μB/atom): 0.54
E_form (uncorrected) (eV per atom): 0.41